Record 1
HfBeIr2S (PBE, relaxed); formation energy from raw total energies = 513 meV/atom; symmetry = P4/mmm; spin magnetization = 0.00 Bohr magnetons per cell; final energy = -32.963 eV per cell
1.0
4.3973 0.0000 0.0000
0.0000 4.3973 0.0000
0.0000 0.0000 4.6031
Hf Be Ir S
1 1 2 1
Direct
0.0000 0.0000 0.0000
0.5000 0.5000 0.0000
0.0000 0.5000 0.5000
0.5000 0.0000 0.5000
0.0000 0.0000 0.5000

Record 2
MnAgPt3 (PBE, relaxed); symmetry = Pm-3m; energy relative to the lowest polymorph listed for this composition = 0 meV per atom; spin magnetization = 0.00 Bohr magnetons per cell; final energy = -25.627 eV per cell
1.0
4.5757 0.0000 0.0000
0.0000 4.5757 0.0000
0.0000 0.0000 4.5757
Mn Ag Pt
1 1 3
Direct
0.0000 0.0000 0.0000
0.5000 0.5000 0.5000
0.0000 0.0000 0.5000
0.0000 0.5000 0.0000
0.5000 0.0000 0.0000

DOS at the Fermi energy in states/eV per cell, matching the order above: 5.1; 6.2